VASP calculation (GGA-PBEsol) on crystalline MgBeMo2Pt at its relaxed geometry.

The structure in POSCAR format:
```
MgBeMo2Pt
1.0
-2.2798 -3.3946 -1.7037
2.4469 0.2532 -3.7788
2.9931 -2.8858 1.7448
Be Mo Mg Pt
1 2 1 1
Direct
0.5000 0.5000 0.5000
0.0000 0.0000 0.5000
0.0000 0.5000 0.0000
0.0000 0.0000 0.0000
0.5000 0.0000 0.0000
```

energy relative to the elements = 2.122 eV per atom
M_tot = 1.23 μB/cell
calculated total energy = -5.122 eV per atom
space group = P4/mmm